Nb2CdCu: optimized geometry, PBE.

Properties
crystal system = trigonal
density = 8.15 g/cm3
E_form = 44.2 kJ per mole of atoms
M_tot = 0.00 μB per formula unit

Lattice parameters (Å, degrees): 2.8336 2.8336 31.7826 90.00 90.00 120.00
Closest atoms and distances in Å follow each position.
Space group R-3m (No. 166, hexagonal axes)
One atom of each set of equivalent atoms:
Nb 0.0000 0.0000 0.0942 [6 per cell]  3 Cu 2.83, 6 Nb 2.83, 1 Cd 2.99
Cd 0.0000 0.0000 0.0000 [3 per cell]  6 Cd 2.83, 2 Nb 2.99
Cu 0.0000 0.0000 0.5000 [3 per cell]  6 Nb 2.83, 6 Cu 2.83